Record 1
A plane-wave DFT calculation with SCAN was carried out for a crystal of Co3RePt relaxed with PBEsol.

Computed properties:
Its electronic total energy is -36.977 eV/atom. The formation energy comes out at 1.663 eV per atom.

a = 4.303 Å, b = 4.303 Å, c = 4.303 Å
α = 90.00°, β = 90.00°, γ = 90.00°
Space group Pm-3m (No. 221)
Asymmetric unit:
Co1 0.000 0.000 0.500 (multiplicity 3)
Re1 0.000 0.000 0.000 (multiplicity 1)
Pt1 0.500 0.500 0.500 (multiplicity 1)


Record 2
A plane-wave DFT calculation with SCAN was carried out for a crystal of CoRePt2 relaxed with PBEsol.

Computed properties:
Its electronic total energy is -57.305 eV/atom. The formation energy comes out at -0.108 eV per atom.

a = 2.684 Å, b = 2.684 Å, c = 7.542 Å
α = 90.00°, β = 90.00°, γ = 90.00°
Space group P4/mmm (No. 123)
Asymmetric unit:
Co1 0.000 0.000 0.000 (multiplicity 1)
Re1 0.000 0.000 0.500 (multiplicity 1)
Pt1 0.500 0.500 0.241 (multiplicity 2)


Record 3
A plane-wave DFT calculation with SCAN was carried out for a crystal of CoRePt2 relaxed with PBEsol.

Computed properties:
Its electronic total energy is -57.267 eV/atom. The formation energy comes out at -0.070 eV per atom.

a = 2.696 Å, b = 2.696 Å, c = 7.513 Å
α = 90.00°, β = 90.00°, γ = 90.00°
Space group P4mm (No. 99)
Asymmetric unit:
Co1 0.000 0.000 0.000 (multiplicity 1)
Re1 0.500 0.500 0.782 (multiplicity 1)
Pt1 0.000 0.000 0.522 (multiplicity 1)
Pt2 0.500 0.500 0.242 (multiplicity 1)


no.,total magnetization (μB/cell)
1,3.04
2,2.11
3,1.43